Record 1
The following is a DFT calculation (PBE) of an optimized crystal structure of TaSiSb2.

a = 3.461 Å, b = 3.461 Å, c = 7.024 Å
α = 90.00°, β = 90.00°, γ = 90.00°
Element x y z (fractional)
Ta1 0.000 0.000 0.000
Si1 0.000 0.000 0.500
Sb1 0.500 0.500 0.230
Sb2 0.500 0.500 0.770

The value obtained for the total energy is -24.043 eV/cell. Its symmetry is P4/mmm (123).

=====

Record 2
The following is a DFT calculation (PBE) of an optimized crystal structure of Ca2Al4Si4H10O21.

a = 11.740 Å, b = 11.740 Å, c = 9.385 Å
α = 91.23°, β = 91.23°, γ = 44.36°
Element x y z (fractional)
Ca1 0.054 0.660 0.542
Ca2 0.340 0.946 0.958
Ca3 0.660 0.054 0.042
Ca4 0.946 0.340 0.458
Al1 0.016 0.384 0.785
Al2 0.297 0.469 0.896
Al3 0.384 0.016 0.285
Al4 0.469 0.297 0.396
Al5 0.531 0.703 0.604
Al6 0.616 0.984 0.715
Al7 0.703 0.531 0.104
Al8 0.984 0.616 0.215
Si1 0.250 0.269 0.038
Si2 0.251 0.614 0.208
Si3 0.269 0.250 0.538
Si4 0.386 0.749 0.292
Si5 0.614 0.251 0.708
Si6 0.731 0.750 0.462
Si7 0.749 0.386 0.792
Si8 0.750 0.731 0.962
H1 0.022 0.062 0.585
H2 0.030 0.599 0.823
H3 0.038 0.809 0.987
H4 0.062 0.022 0.085
H5 0.191 0.962 0.513
H6 0.307 0.682 0.534
H7 0.318 0.693 0.966
H8 0.340 0.565 0.651
H9 0.401 0.970 0.677
H10 0.435 0.660 0.849
H11 0.565 0.340 0.151
H12 0.599 0.030 0.323
H13 0.660 0.435 0.349
H14 0.682 0.307 0.034
H15 0.693 0.318 0.466
H16 0.809 0.038 0.487
H17 0.938 0.978 0.915
H18 0.962 0.191 0.013
H19 0.970 0.401 0.177
H20 0.978 0.938 0.415
O1 0.067 0.076 0.011
O2 0.076 0.067 0.511
O3 0.092 0.663 0.269
O4 0.094 0.371 0.620
O5 0.106 0.421 0.141
O6 0.119 0.584 0.788
O7 0.173 0.241 0.909
O8 0.240 0.760 0.250
O9 0.241 0.173 0.409
O10 0.252 0.604 0.033
O11 0.262 0.644 0.576
O12 0.296 0.359 0.476
O13 0.337 0.908 0.231
O14 0.356 0.738 0.924
O15 0.359 0.296 0.976
O16 0.371 0.094 0.120
O17 0.396 0.748 0.467
O18 0.416 0.443 0.278
O19 0.416 0.881 0.712
O20 0.421 0.106 0.641
O21 0.443 0.416 0.778
O22 0.557 0.584 0.222
O23 0.579 0.894 0.359
O24 0.584 0.119 0.288
O25 0.584 0.557 0.722
O26 0.604 0.252 0.533
O27 0.629 0.906 0.880
O28 0.641 0.704 0.024
O29 0.644 0.262 0.076
O30 0.663 0.092 0.769
O31 0.704 0.641 0.524
O32 0.738 0.356 0.424
O33 0.748 0.396 0.967
O34 0.759 0.827 0.591
O35 0.760 0.240 0.750
O36 0.827 0.759 0.091
O37 0.881 0.416 0.212
O38 0.894 0.579 0.859
O39 0.906 0.629 0.380
O40 0.908 0.337 0.731
O41 0.924 0.933 0.489
O42 0.933 0.924 0.989

The value obtained for the total energy is -543.788 eV/cell. Its symmetry is C2/c (15).

=====

Record 3
The following is a DFT calculation (PBE) of an optimized crystal structure of CsIn2Hg7.

a = 8.258 Å, b = 8.258 Å, c = 5.346 Å
α = 90.00°, β = 90.00°, γ = 99.09°
Element x y z (fractional)
Cs1 0.000 0.000 0.000
In1 0.253 0.747 0.500
In2 0.747 0.253 0.500
Hg1 0.115 0.358 0.500
Hg2 0.358 0.115 0.500
Hg3 0.364 0.636 0.000
Hg4 0.500 0.500 0.500
Hg5 0.636 0.364 0.000
Hg6 0.642 0.885 0.500
Hg7 0.885 0.642 0.500

The value obtained for the total energy is -8.787 eV/cell. The energy relative to the elements comes out at -0.03 eV per atom. Its symmetry is Cmmm (65).

=====

Record 4
The following is a DFT calculation (PBE) of an optimized crystal structure of Tb2CePrTm4.

a = 5.033 Å, b = 5.052 Å, c = 9.857 Å
α = 90.00°, β = 90.00°, γ = 90.00°
Element x y z (fractional)
Tb1 0.000 0.000 0.000
Tb2 0.500 0.500 0.500
Ce1 0.000 0.000 0.500
Pr1 0.500 0.500 0.000
Tm1 0.000 0.500 0.254
Tm2 0.000 0.500 0.746
Tm3 0.500 0.000 0.254
Tm4 0.500 0.000 0.746

The value obtained for the total energy is -37.473 eV/cell. The energy relative to the elements comes out at 0.05 eV per atom. Its symmetry is Pmmm (47).

=====

Record 5
The following is a DFT calculation (PBE) of an optimized crystal structure of Zr2TaSi.

a = 3.043 Å, b = 3.043 Å, c = 8.707 Å
α = 90.00°, β = 90.00°, γ = 104.48°
Element x y z (fractional)
Zr1 0.000 0.000 0.000
Zr2 0.500 0.500 0.303
Ta1 0.000 0.000 0.572
Si1 0.500 0.500 0.774

The value obtained for the total energy is -34.902 eV/cell. Its symmetry is Cmm2 (35).

=====

Record 6
The following is a DFT calculation (PBE) of an optimized crystal structure of Tb3Y12Ho.

a = 5.044 Å, b = 5.044 Å, c = 20.175 Å
α = 90.00°, β = 90.00°, γ = 90.00°
Element x y z (fractional)
Tb1 0.000 0.000 0.000
Tb2 0.000 0.000 0.250
Tb3 0.000 0.000 0.750
Y1 0.000 0.500 0.125
Y2 0.000 0.500 0.375
Y3 0.000 0.500 0.625
Y4 0.000 0.500 0.875
Y5 0.500 0.000 0.125
Y6 0.500 0.000 0.375
Y7 0.500 0.000 0.625
Y8 0.500 0.000 0.875
Y9 0.500 0.500 0.000
Y10 0.500 0.500 0.250
Y11 0.500 0.500 0.500
Y12 0.500 0.500 0.750
Ho1 0.000 0.000 0.500

The value obtained for the total energy is -95.673 eV/cell. The energy relative to the elements comes out at 0.02 eV per atom. Its symmetry is P4/mmm (123).

=====

Record 7
The following is a DFT calculation (PBE) of an optimized crystal structure of Sm3TaPd12.

a = 4.120 Å, b = 4.120 Å, c = 16.457 Å
α = 90.00°, β = 90.00°, γ = 90.00°
Element x y z (fractional)
Sm1 0.000 0.000 0.000
Sm2 0.000 0.000 0.252
Sm3 0.000 0.000 0.748
Ta1 0.000 0.000 0.500
Pd1 0.000 0.500 0.129
Pd2 0.000 0.500 0.388
Pd3 0.000 0.500 0.612
Pd4 0.000 0.500 0.871
Pd5 0.500 0.000 0.129
Pd6 0.500 0.000 0.388
Pd7 0.500 0.000 0.612
Pd8 0.500 0.000 0.871
Pd9 0.500 0.500 0.000
Pd10 0.500 0.500 0.259
Pd11 0.500 0.500 0.500
Pd12 0.500 0.500 0.741

The value obtained for the total energy is -100.149 eV/cell. The energy relative to the elements comes out at -0.74 eV per atom. Its symmetry is P4/mmm (123).

=====

Record 8
The following is a DFT calculation (PBE) of an optimized crystal structure of NdErGe2.

a = 4.799 Å, b = 4.799 Å, c = 4.079 Å
α = 90.00°, β = 90.00°, γ = 90.00°
Element x y z (fractional)
Nd1 0.000 0.000 0.000
Er1 0.500 0.500 0.000
Ge1 0.000 0.500 0.500
Ge2 0.500 0.000 0.500

The value obtained for the total energy is -21.019 eV/cell. The energy relative to the elements comes out at -0.61 eV per atom. Its symmetry is P4/mmm (123).

=====

Record 9
The following is a DFT calculation (PBE) of an optimized crystal structure of CsTeAsI2.

a = 6.011 Å, b = 6.011 Å, c = 5.558 Å
α = 90.00°, β = 90.00°, γ = 90.00°
Element x y z (fractional)
Cs1 0.000 0.000 0.000
Te1 0.500 0.500 0.000
As1 0.500 0.500 0.500
I1 0.000 0.500 0.500
I2 0.500 0.000 0.500

The value obtained for the total energy is -14.054 eV/cell. Its symmetry is P4/mmm (123).

=====

Record 10
The following is a DFT calculation (PBE) of an optimized crystal structure of BaTl3Pb.

a = 6.002 Å, b = 6.002 Å, c = 6.002 Å
α = 90.00°, β = 90.00°, γ = 90.00°
Element x y z (fractional)
Ba1 0.000 0.000 0.000
Tl1 0.000 0.500 0.500
Tl2 0.500 0.000 0.500
Tl3 0.500 0.500 0.000
Pb1 0.500 0.500 0.500

The value obtained for the total energy is -12.378 eV/cell. The energy relative to the elements comes out at 0.07 eV per atom. Its symmetry is Pm-3m (221).

=====

Record 11
The following is a DFT calculation (PBE) of an optimized crystal structure of SrHoMg4.

a = 6.208 Å, b = 6.208 Å, c = 6.208 Å
α = 60.00°, β = 60.00°, γ = 60.00°
Element x y z (fractional)
Sr1 0.000 0.000 0.000
Ho1 0.750 0.750 0.750
Mg1 0.376 0.376 0.376
Mg2 0.376 0.376 0.872
Mg3 0.376 0.872 0.376
Mg4 0.872 0.376 0.376

The value obtained for the total energy is -12.903 eV/cell. The energy relative to the elements comes out at -0.04 eV per atom. Its symmetry is F-43m (216).

=====

Record 12
The following is a DFT calculation (PBE) of an optimized crystal structure of CeHf4Zr2.

a = 7.613 Å, b = 7.613 Å, c = 7.606 Å
α = 109.17°, β = 109.17°, γ = 110.02°
Element x y z (fractional)
Ce1 0.125 0.875 0.500
Ce2 0.875 0.125 0.000
Hf1 0.088 0.262 0.756
Hf2 0.256 0.581 0.244
Hf3 0.262 0.088 0.256
Hf4 0.419 0.912 0.924
Hf5 0.581 0.256 0.744
Hf6 0.737 0.743 0.075
Hf7 0.743 0.737 0.575
Hf8 0.912 0.419 0.424
Zr1 0.000 0.628 0.878
Zr2 0.371 0.500 0.622
Zr3 0.500 0.371 0.122
Zr4 0.628 0.000 0.378

The value obtained for the total energy is -120.602 eV/cell. The energy relative to the elements comes out at 0.36 eV per atom. Its symmetry is Cc (9).

=====

Record 13
The following is a DFT calculation (PBE) of an optimized crystal structure of TlSb2Rh.

a = 5.390 Å, b = 5.390 Å, c = 4.219 Å
α = 90.00°, β = 90.00°, γ = 120.13°
Element x y z (fractional)
Tl1 0.000 0.000 0.000
Sb1 0.326 0.674 0.500
Sb2 0.674 0.326 0.500
Rh1 0.500 0.500 0.000

The value obtained for the total energy is -18.717 eV/cell. Its symmetry is Cmmm (65).

=====

Record 14
The following is a DFT calculation (PBE) of an optimized crystal structure of InAg2C.

a = 7.297 Å, b = 7.297 Å, c = 7.297 Å
α = 138.22°, β = 138.22°, γ = 60.57°
Element x y z (fractional)
In1 0.000 0.000 0.000
In2 0.750 0.250 0.500
Ag1 0.263 0.625 0.138
Ag2 0.375 0.513 0.638
Ag3 0.487 0.125 0.862
Ag4 0.875 0.737 0.362
C1 0.250 0.750 0.500
C2 0.500 0.500 0.000

The value obtained for the total energy is -26.528 eV/cell. The energy relative to the elements comes out at 1.10 eV per atom. Its symmetry is I-42d (122).

=====

Record 15
The following is a DFT calculation (PBE) of an optimized crystal structure of Ni2RuRh2.

a = 6.899 Å, b = 6.899 Å, c = 2.769 Å
α = 90.00°, β = 90.00°, γ = 90.00°
Element x y z (fractional)
Ni1 0.124 0.376 0.000
Ni2 0.376 0.876 0.000
Ni3 0.624 0.124 0.000
Ni4 0.876 0.624 0.000
Ru1 0.000 0.000 0.000
Ru2 0.500 0.500 0.000
Rh1 0.174 0.674 0.500
Rh2 0.326 0.174 0.500
Rh3 0.674 0.826 0.500
Rh4 0.826 0.326 0.500

The value obtained for the total energy is -68.228 eV/cell. The energy relative to the elements comes out at 0.29 eV per atom. Its symmetry is P4/mbm (127).

=====

Record 16
The following is a DFT calculation (PBE) of an optimized crystal structure of FeHgBr5.

a = 7.666 Å, b = 7.666 Å, c = 9.919 Å
α = 109.03°, β = 109.03°, γ = 90.90°
Element x y z (fractional)
Fe1 0.108 0.892 0.750
Fe2 0.892 0.108 0.250
Hg1 0.500 0.500 0.000
Hg2 0.500 0.500 0.500
Br1 0.161 0.221 0.833
Br2 0.206 0.750 0.544
Br3 0.221 0.161 0.333
Br4 0.250 0.794 0.956
Br5 0.404 0.596 0.250
Br6 0.596 0.404 0.750
Br7 0.750 0.206 0.044
Br8 0.779 0.839 0.667
Br9 0.794 0.250 0.456
Br10 0.839 0.779 0.167

The value obtained for the total energy is -39.994 eV/cell. Its symmetry is C2/c (15).

=====

Record 17
The following is a DFT calculation (PBE) of an optimized crystal structure of ZrSiAg2.

a = 2.917 Å, b = 3.898 Å, c = 6.423 Å
α = 90.00°, β = 90.00°, γ = 90.00°
Element x y z (fractional)
Zr1 0.000 0.000 0.000
Si1 0.500 0.500 0.777
Ag1 0.000 0.000 0.522
Ag2 0.500 0.500 0.288

The value obtained for the total energy is -19.881 eV/cell. Its symmetry is Pmm2 (25).

=====

Record 18
The following is a DFT calculation (PBE) of an optimized crystal structure of Y5Co2Hg.

a = 8.594 Å, b = 8.594 Å, c = 8.594 Å
α = 127.39°, β = 127.39°, γ = 77.62°
Element x y z (fractional)
Y1 0.000 0.000 0.000
Y2 0.028 0.528 0.823
Y3 0.205 0.028 0.500
Y4 0.295 0.795 0.823
Y5 0.472 0.295 0.500
Y6 0.500 0.500 0.000
Y7 0.528 0.705 0.500
Y8 0.705 0.205 0.177
Y9 0.795 0.972 0.500
Y10 0.972 0.472 0.177
Co1 0.134 0.366 0.500
Co2 0.366 0.866 0.233
Co3 0.634 0.134 0.767
Co4 0.866 0.634 0.500
Hg1 0.250 0.250 0.000
Hg2 0.750 0.750 0.000

The value obtained for the total energy is -97.916 eV/cell. The energy relative to the elements comes out at -0.27 eV per atom. Its symmetry is I4/mcm (140).

=====

Record 19
The following is a DFT calculation (PBE) of an optimized crystal structure of Mn2IrSe.

a = 3.094 Å, b = 3.094 Å, c = 5.894 Å
α = 90.00°, β = 90.00°, γ = 90.00°
Element x y z (fractional)
Mn1 0.000 0.000 0.000
Mn2 0.500 0.500 0.252
Ir1 0.500 0.500 0.780
Se1 0.000 0.000 0.441

The value obtained for the total energy is -30.126 eV/cell. Its symmetry is P4mm (99).

=====

Record 20
The following is a DFT calculation (PBE) of an optimized crystal structure of Np3Ag3PtS8.

a = 7.740 Å, b = 7.740 Å, c = 7.727 Å
α = 119.41°, β = 119.41°, γ = 60.53°
Element x y z (fractional)
Np1 0.000 0.000 0.000
Np2 0.000 0.500 0.500
Np3 0.500 0.000 0.500
Ag1 0.000 0.500 0.000
Ag2 0.500 0.000 0.000
Ag3 0.500 0.500 0.500
Pt1 0.500 0.500 0.000
S1 0.245 0.245 0.254
S2 0.268 0.729 0.770
S3 0.270 0.270 0.768
S4 0.271 0.732 0.230
S5 0.729 0.268 0.770
S6 0.730 0.730 0.232
S7 0.732 0.271 0.230
S8 0.755 0.755 0.746

The value obtained for the total energy is -96.766 eV/cell. Its symmetry is C2/m (12).

=====

Magnetization for every record listed, in sequence, given in μB per formula unit: 0.00, 0.00, 0.00, 0.97, 0.00, 0.00, 0.00, 0.00, 0.00, 0.00, 0.00, 0.00, 0.00, 0.00, 0.64, 5.00, 0.00, 0.00, 4.56, 11.06.
Volume for every record listed, in sequence, given in Å³/atom: 21.03, 11.03, 36.00, 31.33, 19.52, 32.08, 17.46, 23.48, 40.16, 43.25, 28.19, 24.26, 26.50, 21.34, 13.18, 36.86, 18.26, 24.28, 14.11, 22.11.